Record 1
Entry from the Alexandria database: a geometry-optimized NdDyGaGe structure (GGA-PBE).

a = 5.1429 Å, b = 5.1429 Å, c = 5.1429 Å
α = 60.00°, β = 60.00°, γ = 60.00°
Atoms (fractional coordinates):
Ge1 0.5000 0.5000 0.5000
Nd1 0.2500 0.2500 0.2500
Ga1 0.0000 0.0000 0.0000
Dy1 0.7500 0.7500 0.7500

polymorph energy (0 for the lowest one): 200 meV per atom
space-group type: F-43m

---

Record 2
Entry from the Alexandria database: a geometry-optimized NdDyGaGe structure (GGA-PBE).

a = 4.3984 Å, b = 4.0576 Å, c = 5.9408 Å
α = 90.00°, β = 111.73°, γ = 90.00°
Atoms (fractional coordinates):
Nd1 0.1415 0.0000 0.2829
Dy1 0.8617 0.5000 0.7235
Ga1 0.5753 0.5000 0.1506
Ge1 0.4215 0.0000 0.8430

polymorph energy (0 for the lowest one): 0 meV per atom
space-group type: Amm2

---

Record 3
Entry from the Alexandria database: a geometry-optimized DyGaNi2Ge2 structure (GGA-PBE).

a = 4.3641 Å, b = 4.3641 Å, c = 5.5496 Å
α = 90.00°, β = 90.00°, γ = 90.00°
Atoms (fractional coordinates):
Dy1 0.0000 0.0000 0.5000
Ga1 0.0000 0.0000 0.0000
Ni1 0.5000 0.0000 0.0000
Ni2 0.0000 0.5000 0.0000
Ge1 0.5000 0.5000 0.7357
Ge2 0.5000 0.5000 0.2643

space-group type: P4/mmm

---

Record 4
Entry from the Alexandria database: a geometry-optimized Dy2GaNi3Ge4 structure (GGA-PBE).

a = 4.0422 Å, b = 4.0422 Å, c = 10.2192 Å
α = 90.00°, β = 90.00°, γ = 90.00°
Atoms (fractional coordinates):
Dy1 0.5000 0.0000 0.2414
Dy2 0.0000 0.5000 0.7586
Ga1 0.5000 0.5000 0.5000
Ni1 0.0000 0.0000 0.5000
Ni2 0.5000 0.0000 0.8745
Ni3 0.0000 0.5000 0.1255
Ge1 0.5000 0.5000 0.0000
Ge2 0.0000 0.0000 0.0000
Ge3 0.5000 0.0000 0.6481
Ge4 0.0000 0.5000 0.3519

space-group type: P-4m2

---

Record 5
Entry from the Alexandria database: a geometry-optimized DyGa2Ni2Ge structure (GGA-PBE).

a = 4.3805 Å, b = 4.3805 Å, c = 5.4882 Å
α = 90.00°, β = 90.00°, γ = 90.00°
Atoms (fractional coordinates):
Dy1 0.0000 0.0000 0.5000
Ga1 0.5000 0.5000 0.7368
Ga2 0.5000 0.5000 0.2632
Ni1 0.5000 0.0000 0.0000
Ni2 0.0000 0.5000 0.0000
Ge1 0.0000 0.0000 0.0000

space-group type: P4/mmm

---

Record 6
Entry from the Alexandria database: a geometry-optimized Dy2Ga4NiGe2 structure (GGA-PBE).

a = 6.2317 Å, b = 6.2317 Å, c = 6.2317 Å
α = 87.51°, β = 121.45°, γ = 121.45°
Atoms (fractional coordinates):
Dy1 0.5000 0.7500 0.2500
Dy2 0.5000 0.2500 0.7500
Ga1 0.0000 0.7205 0.2795
Ga2 0.4411 0.7205 0.7205
Ga3 0.0000 0.2795 0.7205
Ga4 0.5589 0.2795 0.2795
Ni1 0.0000 0.0000 0.0000
Ge1 0.0000 0.7293 0.7293
Ge2 0.0000 0.2707 0.2707

space-group type: I4/mmm

---

no.,ΔH_f (0 K) (meV per atom),theoretical density (g/cm3)
1,-567,7.753
2,-767,7.572
3,-189,7.775
4,-633,8.566
5,-299,7.757
6,-490,8.023